Density functional theory data (meta-GGA SCAN) for a PBEsol-optimized structure of BaLi2Hg.

Calculated values
Symmetry ... P4mm, No. 99
Energy relative to the elements ... -288 meV/atom

Unit cell a=3.8507 b=3.8507 c=7.5663 alpha=90.00 beta=90.00 gamma=90.00
Sites, in units of the cell vectors:
1 Li 0.0000 0.0000 0.9845
2 Hg 0.5000 0.5000 0.8124
3 Li 0.5000 0.5000 0.1708
4 Ba 0.0000 0.0000 0.5323

=====

Density functional theory data (meta-GGA SCAN) for a PBEsol-optimized structure of BeW2Cl.

Calculated values
Symmetry ... Pmmm, No. 47
E above lowest polymorph ... 289.6 meV/atom
Uncorrected formation energy ... 1.01 eV/atom

Unit cell a=2.7164 b=4.3729 c=4.9510 alpha=90.00 beta=90.00 gamma=90.00
Sites, in units of the cell vectors:
1 W 0.5000 0.0000 0.5000
2 Be 0.5000 0.5000 0.0000
3 W 0.0000 0.0000 0.0000
4 Cl 0.0000 0.5000 0.5000

=====

Density functional theory data (meta-GGA SCAN) for a PBEsol-optimized structure of Sr2Si2Sb.

Calculated values
Symmetry ... I4/mmm, No. 139
Uncorrected formation energy ... -0.38 eV/atom

Unit cell a=3.7184 b=3.7184 c=9.8725 alpha=100.85 beta=100.85 gamma=90.00
Sites, in units of the cell vectors:
1 Sr 0.6110 0.6110 0.2220
2 Si 0.2500 0.7500 0.5000
3 Si 0.7500 0.2500 0.5000
4 Sb 0.0000 0.0000 0.0000
5 Sr 0.3890 0.3890 0.7780

=====

Density functional theory data (meta-GGA SCAN) for a PBEsol-optimized structure of NaLi15V16O48.

Calculated values
Symmetry ... C2, No. 5
Uncorrected formation energy ... -2.54 eV/atom

Unit cell a=8.4376 b=9.9788 c=12.3887 alpha=97.28 beta=90.00 gamma=115.01
Sites, in units of the cell vectors:
1 O 0.0725 0.3343 0.6733
2 O 0.4081 0.9005 0.1929
3 Li 0.4815 0.7473 0.1218
4 O 0.6850 0.4237 0.9469
5 O 0.4318 0.4459 0.6366
6 Li 0.9834 0.7525 0.6249
7 O 0.2613 0.5763 0.0531
8 V 0.7548 0.9681 0.7309
9 O 0.2539 0.0583 0.1154
10 O 0.8186 0.3095 0.4930
11 O 0.0132 0.1617 0.0535
12 O 0.0991 0.5982 0.5876
13 O 0.6647 0.9362 0.3749
14 O 0.0003 0.3944 0.9078
15 O 0.0204 0.6863 0.0075
16 O 0.7285 0.0638 0.6251
17 O 0.0536 0.8112 0.2396
18 V 0.0182 0.4717 0.4769
19 O 0.5510 0.8075 0.7416
20 V 0.2639 0.9651 0.2277
21 O 0.5009 0.4018 0.4124
22 O 0.1665 0.4153 0.4338
23 O 0.5849 0.3469 0.1768
24 O 0.9907 0.0913 0.3146
25 O 0.9431 0.4348 0.1330
26 O 0.7382 0.6657 0.3267
27 V 0.4737 0.7705 0.3930
28 Li 0.0160 0.4981 0.7492
29 Li 0.4148 0.0000 0.0000
30 Li 0.2721 0.0000 0.5000
31 O 0.6573 0.1565 0.0340
32 Li 0.5179 0.5019 0.2508
33 Li 0.3398 0.7590 0.6123
34 V 0.9955 0.7787 0.8992
35 O 0.7518 0.9158 0.1538
36 V 0.5465 0.5283 0.5231
37 O 0.2425 0.1888 0.7604
38 V 0.7310 0.2832 0.1451
39 O 0.8515 0.8383 0.9465
40 O 0.7512 0.5847 0.5662
41 O 0.5008 0.8435 0.9660
42 Li 0.7342 0.2527 0.8782
43 Na 0.8968 0.0000 0.5000
44 Li 0.5807 0.2410 0.3877
45 Li 0.7720 0.0000 0.0000
46 O 0.2381 0.6531 0.8232
47 O 0.8360 0.0842 0.8462
48 Li 0.0793 0.2325 0.8908
49 O 0.1957 0.9417 0.8846
50 V 0.7867 0.0319 0.2691
51 O 0.7480 0.3556 0.7177
52 O 0.8994 0.9087 0.6854
53 V 0.2311 0.2827 0.6481
54 O 0.3269 0.8276 0.4379
55 O 0.2517 0.9123 0.6592
56 O 0.1765 0.1656 0.5329
57 Li 0.6679 0.5161 0.7428
58 O 0.3340 0.3137 0.9925
59 O 0.5090 0.6905 0.5070
60 O 0.4993 0.1724 0.5621
61 Li 0.2309 0.2475 0.3751
62 V 0.2988 0.0349 0.7723
63 V 0.2168 0.2213 0.1008
64 O 0.0109 0.8344 0.4671
65 V 0.9483 0.7173 0.3519
66 O 0.7436 0.1925 0.2584
67 Li 0.1518 0.4839 0.2572
68 O 0.5083 0.5652 0.8670
69 O 0.9124 0.6632 0.7838
70 O 0.2492 0.3368 0.2162
71 V 0.7032 0.2295 0.6070
72 V 0.0537 0.5211 0.0192
73 O 0.3924 0.6444 0.2823
74 V 0.4478 0.7168 0.8549
75 O 0.9860 0.5541 0.3634
76 O 0.3394 0.0877 0.3408
77 O 0.5076 0.0995 0.8071
78 O 0.6059 0.6056 0.0922
79 V 0.5327 0.4789 0.9808
80 Li 0.8468 0.7675 0.1092

=====

| no. | total magnetic moment (μB/f.u.) | DOS at the Fermi energy (states/eV/f.u.) |
| --- | --- | --- |
| 1 | 0.04 | 1.57 |
| 2 | 0.00 | 2.36 |
| 3 | 0.00 | 2.03 |
| 4 | 0.00 | 0.00 |